(1)
BaTcBr4 | PBE | relaxed

a b c (Å): 9.2576 9.2576 9.2576
angles (deg): 90.00 90.00 90.00
Last column: nearest neighbours and their distance in Å.
Space group F-43m (No. 216)
One atom of each set of equivalent atoms:
1 Ba 0.0000 0.0000 0.0000 (multiplicity 4)  12 Br 3.84, 4 Tc 4.01
2 Tc 0.2500 0.2500 0.2500 (multiplicity 4)  12 Br 3.84, 4 Ba 4.01
3 Br 0.1250 0.1250 0.6250 (multiplicity 16)  6 Br 3.27

Properties
**Calculated volume**: 793.41 Å³/cell
**Total energy**: -2.91 eV/atom
**N(E_F)**: 7.3 states/eV/f.u.
**E_form (uncorrected)**: 0.2526 eV/atom

=====

(2)
Ba5SrPd4 | PBE | relaxed

a b c (Å): 19.8974 4.6081 9.0881
angles (deg): 90.00 104.01 90.00
Last column: nearest neighbours and their distance in Å.
Space group C2/m (No. 12)
One atom of each set of equivalent atoms:
1 Ba 0.0000 0.0000 0.0000 (multiplicity 2)  4 Pd 3.24
2 Ba 0.1608 0.5000 0.8217 (multiplicity 4)  3 Pd 3.12-3.14
3 Ba 0.1654 0.5000 0.3478 (multiplicity 4)  4 Pd 3.18-3.25
4 Sr 0.0000 0.0000 0.5000 (multiplicity 2)  6 Pd 3.22-3.23
5 Pd 0.0007 0.5000 0.2510 (multiplicity 4)  4 Ba 3.12-3.24, 2 Sr 3.23
6 Pd 0.1670 0.0000 0.5912 (multiplicity 4)  5 Ba 3.14-3.25, 1 Sr 3.22

Properties
**Calculated volume**: 808.48 Å³/cell
**Total energy**: -3.64 eV/atom
**N(E_F)**: 6.3 states/eV/f.u.
**DFT formation energy**: -0.4288 eV/atom

=====

(3)
MgTc2Te | PBE | relaxed

a b c (Å): 8.9983 3.1009 4.9909
angles (deg): 90.00 100.23 90.00
Last column: nearest neighbours and their distance in Å.
Space group C2/m (No. 12)
One atom of each set of equivalent atoms:
1 Mg 0.0000 0.0000 0.0000 (multiplicity 2)  6 Tc 2.73-2.88, 4 Te 2.94
2 Tc 0.2441 0.0000 0.7455 (multiplicity 4)  3 Mg 2.73-2.88, 3 Te 2.79, 4 Tc 2.92-2.96
3 Te 0.0000 0.5000 0.5000 (multiplicity 2)  6 Tc 2.79, 4 Mg 2.94, 2 Te 3.10

Properties
**Calculated volume**: 137.05 Å³/cell
**Total energy**: -5.99 eV/atom
**N(E_F)**: 4.9 states/eV/f.u.
**E_form (uncorrected)**: 0.3724 eV/atom
**Energy above the most stable polymorph in this dataset**: 236 meV per atom

=====

(4)
TeP | PBE | relaxed

a b c (Å): 4.8126 4.8126 5.6572
angles (deg): 90.00 90.00 120.00
Last column: nearest neighbours and their distance in Å.
Space group P6_3/mmc (No. 194)
One atom of each set of equivalent atoms:
1 Te 0.3333 0.6667 0.2500 (multiplicity 2)  5 P 2.78-2.83
2 P 0.3333 0.6667 0.7500 (multiplicity 2)  5 Te 2.78-2.83

Properties
**Calculated volume**: 113.47 Å³/cell
**Total energy**: -3.81 eV/atom
**N(E_F)**: 0.8 states/eV/f.u.
**E_form (uncorrected)**: 0.4657 eV/atom

=====

(5)
Nd5Tm2In5 | PBE | relaxed

a b c (Å): 11.8068 5.2523 12.1753
angles (deg): 90.00 110.07 90.00
Last column: nearest neighbours and their distance in Å.
Space group C2/m (No. 12)
One atom of each set of equivalent atoms:
1 Nd 0.0000 0.0000 0.0000 (multiplicity 2)  8 In 3.41-3.74, 2 Nd 3.66
2 Nd 0.1368 0.0000 0.7722 (multiplicity 4)  5 In 3.22-3.41, 1 Nd 3.42, 3 Tm 3.53-3.58
3 Nd 0.1561 0.0000 0.4981 (multiplicity 4)  3 In 3.18-3.21, 3 Nd 3.42-3.43, 1 Tm 3.56
4 Tm 0.0713 0.5000 0.2570 (multiplicity 4)  4 In 3.16-3.34, 2 Nd 3.53
5 In 0.0000 0.5000 0.5000 (multiplicity 2)  4 Nd 3.21, 2 Tm 3.34, 2 In 3.51
6 In 0.1713 0.5000 0.9599 (multiplicity 4)  1 Tm 3.16, 3 In 3.17-3.39, 5 Nd 3.27-3.45
7 In 0.2240 0.0000 0.2665 (multiplicity 4)  2 Tm 3.17, 4 Nd 3.18-3.41, 2 In 3.39-3.51

Properties
**Calculated volume**: 709.18 Å³/cell
**Total energy**: -4.18 eV/atom
**N(E_F)**: 12.7 states/eV/f.u.
**DFT formation energy**: -0.3087 eV/atom

=====

(6)
CaCeSbPt | PBE | relaxed

a b c (Å): 7.4145 7.4145 7.4145
angles (deg): 90.00 90.00 90.00
Last column: nearest neighbours and their distance in Å.
Space group F-43m (No. 216)
One atom of each set of equivalent atoms:
1 Ca 0.0000 0.0000 0.0000 (multiplicity 4)  4 Sb 3.21, 4 Pt 3.21
2 Ce 0.0000 0.0000 0.5000 (multiplicity 4)  4 Sb 3.21, 4 Pt 3.21
3 Sb 0.2500 0.2500 0.2500 (multiplicity 4)  4 Ce 3.21, 4 Ca 3.21
4 Pt 0.2500 0.2500 0.7500 (multiplicity 4)  4 Ce 3.21, 4 Ca 3.21

Properties
**Calculated volume**: 407.62 Å³/cell
**Total energy**: -5.39 eV/atom
**N(E_F)**: 7.2 states/eV/f.u.
**E_form (uncorrected)**: -0.8700 eV/atom